# 1
{"formula": "AlSb2WF", "functional": "PBE with a Hubbard U", "state": "relaxed", "cell": [[5.160, 0.000, 0.000], [0.000, 5.003, 0.000], [0.000, 0.000, 5.160]], "species": ["Sb", "Sb", "Al", "W", "F"], "frac_coords": [[0.500, 0.000, 0.000], [0.000, 0.000, 0.500], [0.000, 0.500, 0.000], [0.000, 0.000, 0.000], [0.500, 0.500, 0.500]], "total_energy_ev_per_cell": -19.82, "density_g_cm3": 5.9}

# 2
{"formula": "AlSbWF2", "functional": "PBE with a Hubbard U", "state": "relaxed", "cell": [[-3.457, -1.293, 1.986], [2.319, -5.328, 0.569], [1.687, 1.126, 3.668]], "species": ["Al", "F", "F", "Sb", "W"], "frac_coords": [[0.500, 0.500, 0.500], [0.000, 0.000, 0.500], [0.500, 0.000, 0.000], [0.000, 0.000, 0.000], [0.000, 0.500, 0.000]], "total_energy_ev_per_cell": -21.01, "density_g_cm3": 6.0}

What is the formula in the first record? AlSb2WF